Al2NiAu | meta-GGA SCAN | PBEsol geometry

Structure (CIF):
```
data_Al2NiAu
_chemical_formula_sum 'Al4 Ni2 Au2'
_space_group_name_H-M_alt 'I -4 m 2'
_space_group_IT_number 119
_space_group_name_Hall 'I -4 -2'
_cell_length_a 3.7344
_cell_length_b 3.7344
_cell_length_c 7.9064
_cell_angle_alpha 90.00
_cell_angle_beta 90.00
_cell_angle_gamma 90.00
loop_
_atom_site_label
_atom_site_fract_x
_atom_site_fract_y
_atom_site_fract_z
Al1 0.0000 0.0000 0.0000
Al2 0.0000 0.5000 0.2500
Ni1 0.0000 0.0000 0.5000
Au1 0.0000 0.5000 0.7500
```

Results
The value obtained for the density of states at the Fermi level is 0.9 states/eV/f.u. For the total magnetic moment, the calculation gives 0.000 μB/f.u. As for the formation energy: -0.5592 eV/atom. Its final energy is -103.071 eV/f.u.